# 1
Here is FeCuBIr after structural relaxation from OQMD via LeMat-Bulk. Energies are from PBE-GGA.

Output
raw total energy = -6.60 eV/atom
crystal system = cubic
total magnetic moment = 2.311 μB per formula unit

Geometry as POSCAR:
```
FeCuBIr
1.0
0.0000 2.8014 2.8014
2.8014 0.0000 2.8014
2.8014 2.8014 0.0000
Fe Cu B Ir
1 1 1 1
direct
0.0000 0.0000 0.0000
0.2500 0.2500 0.2500
0.7500 0.7500 0.7500
0.5000 0.5000 0.5000
```

***

# 2
Here is HfCoMo after structural relaxation from OQMD via LeMat-Bulk. Energies are from PBE-GGA.

Output
raw total energy = -9.04 eV/atom
crystal system = cubic
total magnetic moment = 0.765 μB per formula unit

Geometry as POSCAR:
```
HfCoMo
1.0
0.0000 2.9687 2.9687
2.9687 0.0000 2.9687
2.9687 2.9687 0.0000
Hf Co Mo
1 1 1
direct
0.0000 0.0000 0.0000
0.2500 0.2500 0.2500
0.5000 0.5000 0.5000
```

***

# 3
Here is TmBeAs after structural relaxation from OQMD via LeMat-Bulk. Energies are from PBE-GGA.

Output
raw total energy = -4.25 eV/atom
crystal system = cubic
total magnetic moment = 0.000 μB per formula unit

Geometry as POSCAR:
```
TmBeAs
1.0
0.0000 3.2239 3.2239
3.2239 0.0000 3.2239
3.2239 3.2239 0.0000
Tm Be As
1 1 1
direct
0.0000 0.0000 0.0000
0.2500 0.2500 0.2500
0.7500 0.7500 0.7500
```

***

# 4
Here is Ho5Ir2 after structural relaxation from OQMD via LeMat-Bulk. Energies are from PBE-GGA.

Output
raw total energy = -6.48 eV/atom
crystal system = monoclinic
total magnetic moment = 0.000 μB per formula unit

Geometry as POSCAR:
```
Ho5Ir2
1.0
7.8449 -3.2274 0.0000
7.8449 3.2274 0.0000
-0.8917 0.0000 7.1100
Ho Ir
10 4
direct
0.0703 0.9297 0.7500
0.1508 0.2886 0.3157
0.2886 0.1508 0.8157
0.2913 0.5241 0.0814
0.4759 0.7087 0.4186
0.5241 0.2913 0.5814
0.7087 0.4759 0.9186
0.7114 0.8492 0.1843
0.8492 0.7114 0.6843
0.9297 0.0703 0.2500
0.1044 0.6748 0.4261
0.3252 0.8956 0.0739
0.6748 0.1044 0.9261
0.8956 0.3252 0.5739
```

***

# 5
Here is HfSbNO after structural relaxation from OQMD via LeMat-Bulk. Energies are from PBE-GGA.

Output
raw total energy = -7.77 eV/atom
crystal system = tetragonal
total magnetic moment = 0.004 μB per formula unit

Geometry as POSCAR:
```
HfSbNO
1.0
4.1095 0.0000 0.0000
0.0000 4.1095 0.0000
0.0000 0.0000 8.8295
Hf Sb N O
2 2 2 2
direct
0.2500 0.2500 0.0817
0.7500 0.7500 0.9183
0.2500 0.7500 0.5000
0.7500 0.2500 0.5000
0.2500 0.2500 0.2924
0.7500 0.7500 0.7076
0.2500 0.7500 0.0000
0.7500 0.2500 0.0000
```

***

# 6
Here is LuScFeGe after structural relaxation from OQMD via LeMat-Bulk. Energies are from PBE-GGA.

Output
raw total energy = -6.11 eV/atom
crystal system = cubic
total magnetic moment = 0.001 μB per formula unit

Geometry as POSCAR:
```
LuScFeGe
1.0
0.0000 3.2155 3.2155
3.2155 0.0000 3.2155
3.2155 3.2155 0.0000
Lu Sc Fe Ge
1 1 1 1
direct
0.0000 0.0000 0.0000
0.2500 0.2500 0.2500
0.7500 0.7500 0.7500
0.5000 0.5000 0.5000
```

***

# 7
Here is SrSi2Ir after structural relaxation from OQMD via LeMat-Bulk. Energies are from PBE-GGA.

Output
raw total energy = -5.00 eV/atom
crystal system = cubic
total magnetic moment = 0.001 μB per formula unit

Geometry as POSCAR:
```
SrSi2Ir
1.0
0.0000 3.3538 3.3538
3.3538 0.0000 3.3538
3.3538 3.3538 0.0000
Sr Si Ir
1 2 1
direct
0.0000 0.0000 0.0000
0.5000 0.5000 0.5000
0.7500 0.7500 0.7500
0.2500 0.2500 0.2500
```

***

# 8
Here is AcTmCd after structural relaxation from OQMD via LeMat-Bulk. Energies are from PBE-GGA.

Output
raw total energy = -2.74 eV/atom
crystal system = cubic
total magnetic moment = 0.005 μB per formula unit

Geometry as POSCAR:
```
AcTmCd
1.0
0.0000 3.6952 3.6952
3.6952 0.0000 3.6952
3.6952 3.6952 0.0000
Ac Tm Cd
1 1 1
direct
0.0000 0.0000 0.0000
0.2500 0.2500 0.2500
0.5000 0.5000 0.5000
```

***

# 9
Here is CdPAuO after structural relaxation from OQMD via LeMat-Bulk. Energies are from PBE-GGA.

Output
raw total energy = -3.77 eV/atom
crystal system = tetragonal

Geometry as POSCAR:
```
CdPAuO
1.0
4.4388 0.0000 0.0000
0.0000 4.4388 0.0000
0.0000 0.0000 7.7065
Cd P Au O
2 2 2 2
direct
0.2500 0.2500 0.0429
0.7500 0.7500 0.9571
0.2500 0.2500 0.6424
0.7500 0.7500 0.3576
0.2500 0.7500 0.5000
0.7500 0.2500 0.5000
0.2500 0.7500 0.0000
0.7500 0.2500 0.0000
```

***

# 10
Here is Ag2PbS2 after structural relaxation from OQMD via LeMat-Bulk. Energies are from PBE-GGA.

Output
raw total energy = -3.63 eV/atom
crystal system = orthorhombic

Geometry as POSCAR:
```
Ag2PbS2
1.0
-3.6496 4.5981 3.7901
3.6496 -4.5981 3.7901
3.6496 4.5981 -3.7901
Ag Pb S
4 2 4
direct
0.1290 0.1087 0.2377
0.3710 0.6087 0.9797
0.6290 0.3913 0.0203
0.8710 0.8913 0.7623
0.2500 0.7500 0.5000
0.7500 0.2500 0.5000
0.1298 0.7545 0.8843
0.3703 0.2545 0.6248
0.6298 0.7455 0.3752
0.8702 0.2455 0.1157
```

***

# 11
Here is Si2Ge2Pd after structural relaxation from OQMD via LeMat-Bulk. Energies are from PBE-GGA.

Output
raw total energy = -4.67 eV/atom
crystal system = tetragonal

Geometry as POSCAR:
```
Si2Ge2Pd
1.0
3.6314 0.0000 0.0000
0.0000 3.6314 0.0000
0.0000 0.0000 6.6433
Si Ge Pd
2 2 1
direct
0.0000 0.0000 0.1788
0.0000 0.0000 0.8212
0.0000 0.5000 0.5000
0.5000 0.0000 0.5000
0.5000 0.5000 0.0000
```

***

# 12
Here is Ag2Te2Pb after structural relaxation from OQMD via LeMat-Bulk. Energies are from PBE-GGA.

Output
raw total energy = -3.33 eV/atom
crystal system = trigonal

Geometry as POSCAR:
```
Ag2Te2Pb
1.0
4.6464 0.0000 0.0000
-2.3232 4.0239 0.0000
0.0000 0.0000 7.6852
Ag Te Pb
2 2 1
direct
0.3333 0.6667 0.1140
0.6667 0.3333 0.8860
0.3333 0.6667 0.7380
0.6667 0.3333 0.2620
0.0000 0.0000 0.5000
```

***

Question: Look up the raw total energy of the tenth one.
Answer: -3.63 eV/atom